[1]
{"formula": "SrCrRh", "functional": "PBE", "state": "optimized geometry", "volume_a3_per_atom": 24.79, "crystal_system": "cubic", "space_group": "No. 216", "cell": [[-4.043, 0.117, 2.434], [-3.216, -3.402, -0.601], [-0.780, -3.144, 3.433]], "species": ["Sr", "Cr", "Rh"], "frac_coords": [[0.000, 0.000, 0.000], [0.500, 0.500, 0.500], [0.750, 0.750, 0.750]]}



[2]
{"formula": "SrCrRh2", "functional": "PBE", "state": "optimized geometry", "volume_a3_per_atom": 18.56, "crystal_system": "tetragonal", "space_group": "No. 119", "cell": [[-4.653, 1.721, -1.621], [-0.485, -0.357, -5.185], [1.469, -3.385, 3.692]], "species": ["Cr", "Rh", "Rh", "Sr"], "frac_coords": [[0.750, 0.250, 0.500], [0.000, 0.000, 0.000], [0.250, 0.750, 0.500], [0.500, 0.500, 0.000]]}



[3]
{"formula": "SrCrRh", "functional": "PBE", "state": "optimized geometry", "volume_a3_per_atom": 25.90, "crystal_system": "cubic", "space_group": "No. 216", "cell": [[-1.669, 3.428, 2.899], [-4.305, 1.936, -0.811], [-3.644, -0.935, 2.965]], "species": ["Sr", "Rh", "Cr"], "frac_coords": [[0.750, 0.750, 0.750], [0.500, 0.500, 0.500], [0.000, 0.000, 0.000]]}



[4]
{"formula": "SrY2CrRh", "functional": "PBE", "state": "optimized geometry", "volume_a3_per_atom": 26.90, "crystal_system": "tetragonal", "space_group": "No. 123", "cell": [[5.380, 0.000, 0.000], [0.000, 4.648, 0.000], [0.000, 0.000, 5.380]], "species": ["Y", "Y", "Cr", "Rh", "Sr"], "frac_coords": [[0.500, 0.000, 0.000], [0.000, 0.000, 0.500], [0.000, 0.000, 0.000], [0.000, 0.500, 0.000], [0.500, 0.500, 0.500]]}



[5]
{"formula": "SrZrCr2Rh", "functional": "PBE", "state": "optimized geometry", "volume_a3_per_atom": 23.77, "crystal_system": "tetragonal", "space_group": "No. 123", "cell": [[-0.239, 3.649, 3.343], [-3.899, 1.794, -2.237], [-2.926, -2.804, 2.851]], "species": ["Sr", "Zr", "Rh", "Cr", "Cr"], "frac_coords": [[0.000, 0.000, 0.000], [0.500, 0.500, 0.500], [0.000, 0.500, 0.000], [0.500, 0.000, 0.000], [0.000, 0.000, 0.500]]}



[6]
{"formula": "TaCrRh2", "functional": "PBE", "state": "optimized geometry", "volume_a3_per_atom": 16.12, "crystal_system": "tetragonal", "space_group": "No. 122", "cell": [[-1.526, 0.423, -3.539], [0.780, -3.716, -0.781], [-8.070, -3.903, 0.890]], "species": ["Cr", "Cr", "Rh", "Rh", "Rh", "Rh", "Ta", "Ta"], "frac_coords": [[0.250, 0.750, 0.500], [0.500, 0.500, 0.000], [0.375, 0.392, 0.750], [0.875, 0.858, 0.750], [0.608, 0.125, 0.250], [0.142, 0.625, 0.250], [0.000, 0.000, 0.000], [0.750, 0.250, 0.500]]}



[7]
{"formula": "TaCrRh2", "functional": "PBE", "state": "optimized geometry", "volume_a3_per_atom": 14.46, "crystal_system": "tetragonal", "space_group": "No. 123", "cell": [[-1.923, 0.754, 1.855], [-1.568, -2.167, -0.745], [3.366, -4.224, 5.205]], "species": ["Cr", "Rh", "Rh", "Ta"], "frac_coords": [[0.500, 0.500, 0.750], [0.000, 0.000, 0.978], [0.000, 0.000, 0.522], [0.500, 0.500, 0.250]]}



[8]
{"formula": "TaCr3Rh", "functional": "PBE", "state": "optimized geometry", "volume_a3_per_atom": 17.31, "crystal_system": "cubic", "space_group": "No. 221", "cell": [[4.424, 0.000, 0.000], [0.000, 4.424, 0.000], [0.000, 0.000, 4.424]], "species": ["Cr", "Cr", "Cr", "Ta", "Rh"], "frac_coords": [[0.000, 0.000, 0.500], [0.500, 0.000, 0.000], [0.000, 0.500, 0.000], [0.000, 0.000, 0.000], [0.500, 0.500, 0.500]]}



[9]
{"formula": "Ta4CrRh", "functional": "PBE", "state": "optimized geometry", "volume_a3_per_atom": 18.09, "crystal_system": "cubic", "space_group": "No. 216", "cell": [[0.000, 3.786, 3.786], [3.786, 0.000, 3.786], [3.786, 3.786, 0.000]], "species": ["Rh", "Ta", "Ta", "Ta", "Ta", "Cr"], "frac_coords": [[0.000, 0.000, 0.000], [0.375, 0.874, 0.375], [0.874, 0.375, 0.375], [0.375, 0.375, 0.375], [0.375, 0.375, 0.874], [0.750, 0.750, 0.750]]}



[10]
{"formula": "TaCrRh2", "functional": "PBE", "state": "optimized geometry", "volume_a3_per_atom": 14.81, "crystal_system": "tetragonal", "space_group": "No. 99", "cell": [[3.163, 0.000, 0.000], [0.000, 3.163, 0.000], [0.000, 0.000, 5.923]], "species": ["Cr", "Ta", "Rh", "Rh"], "frac_coords": [[0.500, 0.500, 0.776], [0.000, 0.000, 0.501], [0.500, 0.500, 0.261], [0.000, 0.000, 0.962]]}



[11]
{"formula": "TaCrRh2", "functional": "PBE", "state": "optimized geometry", "volume_a3_per_atom": 14.83, "crystal_system": "trigonal", "space_group": "No. 160", "cell": [[9.055, -0.004, -0.002], [8.632, 2.736, -0.002], [8.632, 1.333, 2.389]], "species": ["Rh", "Rh", "Cr", "Ta"], "frac_coords": [[0.006, 0.006, 0.006], [0.250, 0.250, 0.250], [0.744, 0.744, 0.744], [0.500, 0.500, 0.500]]}



[12]
{"formula": "TaCr4Rh", "functional": "PBE", "state": "optimized geometry", "volume_a3_per_atom": 13.19, "crystal_system": "cubic", "space_group": "No. 216", "cell": [[-4.042, 2.535, 0.680], [-1.787, 2.691, -3.576], [-4.075, -1.324, -2.207]], "species": ["Cr", "Cr", "Cr", "Cr", "Ta", "Rh"], "frac_coords": [[0.118, 0.627, 0.627], [0.627, 0.627, 0.118], [0.627, 0.118, 0.627], [0.627, 0.627, 0.627], [0.000, 0.000, 0.000], [0.250, 0.250, 0.250]]}



[13]
{"formula": "Ta6CrRh", "functional": "PBE", "state": "optimized geometry", "volume_a3_per_atom": 16.90, "crystal_system": "tetragonal", "space_group": "No. 139", "cell": [[4.356, 0.000, 1.312], [-0.395, 4.338, 1.312], [0.184, 0.201, 7.277]], "species": ["Rh", "Ta", "Ta", "Ta", "Ta", "Ta", "Ta", "Cr"], "frac_coords": [[0.000, 0.000, 0.000], [0.880, 0.380, 0.240], [0.380, 0.880, 0.240], [0.253, 0.253, 0.494], [0.120, 0.620, 0.760], [0.747, 0.747, 0.506], [0.620, 0.120, 0.760], [0.500, 0.500, 0.000]]}



[14]
{"formula": "Ta12Cr3Rh5", "functional": "PBE", "state": "optimized geometry", "volume_a3_per_atom": 20.49, "crystal_system": "cubic", "space_group": "No. 230", "cell": [[-4.928, 10.956, 4.603], [-8.586, -9.480, 1.385], [10.716, -2.939, 6.483]], "species": ["Cr", "Cr", "Cr", "Cr", "Cr", "Cr", "Cr", "Cr", "Cr", "Cr", "Cr", "Cr", "Ta", "Ta", "Ta", "Ta", "Ta", "Ta", "Ta", "Ta", "Ta", "Ta", "Ta", "Ta", "Ta", "Ta", "Ta", "Ta", "Ta", "Ta", "Ta", "Ta", "Ta", "Ta", "Ta", "Ta", "Ta", "Ta", "Ta", "Ta", "Ta", "Ta", "Ta", "Ta", "Ta", "Ta", "Ta", "Ta", "Ta", "Ta", "Ta", "Ta", "Ta", "Ta", "Ta", "Ta", "Ta", "Ta", "Ta", "Ta", "Rh", "Rh", "Rh", "Rh", "Rh", "Rh", "Rh", "Rh", "Rh", "Rh", "Rh", "Rh", "Rh", "Rh", "Rh", "Rh", "Rh", "Rh", "Rh", "Rh"], "frac_coords": [[0.875, 0.750, 0.125], [0.125, 0.250, 0.875], [0.375, 0.625, 0.250], [0.875, 0.125, 0.250], [0.625, 0.375, 0.750], [0.250, 0.625, 0.875], [0.625, 0.250, 0.375], [0.250, 0.125, 0.375], [0.750, 0.875, 0.625], [0.375, 0.750, 0.625], [0.750, 0.375, 0.125], [0.125, 0.875, 0.750], [0.928, 0.832, 0.564], [0.596, 0.732, 0.668], [0.636, 0.572, 0.904], [0.768, 0.332, 0.904], [0.732, 0.596, 0.168], [0.232, 0.564, 0.636], [0.404, 0.268, 0.332], [0.904, 0.832, 0.768], [0.232, 0.668, 0.096], [0.268, 0.864, 0.936], [0.428, 0.364, 0.596], [0.096, 0.168, 0.232], [0.404, 0.136, 0.572], [0.168, 0.096, 0.732], [0.096, 0.928, 0.364], [0.136, 0.404, 0.072], [0.732, 0.136, 0.064], [0.864, 0.268, 0.436], [0.564, 0.332, 0.928], [0.436, 0.768, 0.864], [0.768, 0.436, 0.364], [0.064, 0.636, 0.732], [0.668, 0.232, 0.596], [0.428, 0.064, 0.332], [0.564, 0.232, 0.136], [0.364, 0.936, 0.768], [0.572, 0.636, 0.404], [0.904, 0.072, 0.636], [0.928, 0.096, 0.864], [0.832, 0.904, 0.268], [0.864, 0.596, 0.928], [0.596, 0.864, 0.428], [0.572, 0.936, 0.668], [0.636, 0.064, 0.232], [0.332, 0.564, 0.428], [0.072, 0.168, 0.436], [0.364, 0.428, 0.096], [0.136, 0.732, 0.564], [0.332, 0.768, 0.404], [0.268, 0.404, 0.832], [0.936, 0.364, 0.268], [0.832, 0.928, 0.064], [0.064, 0.428, 0.832], [0.168, 0.072, 0.936], [0.436, 0.668, 0.072], [0.936, 0.572, 0.168], [0.668, 0.436, 0.572], [0.072, 0.904, 0.136], [0.375, 0.125, 0.750], [0.000, 0.500, 0.000], [0.000, 0.500, 0.500], [0.625, 0.875, 0.250], [0.000, 0.000, 0.000], [0.500, 0.500, 0.000], [0.750, 0.625, 0.375], [0.500, 0.500, 0.500], [0.500, 0.000, 0.000], [0.625, 0.750, 0.875], [0.250, 0.875, 0.125], [0.500, 0.000, 0.500], [0.750, 0.125, 0.875], [0.375, 0.250, 0.125], [0.125, 0.375, 0.250], [0.250, 0.375, 0.625], [0.125, 0.750, 0.375], [0.875, 0.250, 0.625], [0.875, 0.625, 0.750], [0.000, 0.000, 0.500]]}



[15]
{"formula": "TaCr2Rh", "functional": "PBE", "state": "optimized geometry", "volume_a3_per_atom": 14.49, "crystal_system": "orthorhombic", "space_group": "No. 47", "cell": [[3.194, 0.000, 0.000], [0.000, 4.238, 0.000], [0.000, 0.000, 4.283]], "species": ["Rh", "Cr", "Cr", "Ta"], "frac_coords": [[0.500, 0.000, 0.500], [0.000, 0.000, 0.000], [0.500, 0.500, 0.000], [0.000, 0.500, 0.500]]}



[16]
{"formula": "TaCr2Rh2", "functional": "PBE", "state": "optimized geometry", "volume_a3_per_atom": 14.14, "crystal_system": "tetragonal", "space_group": "No. 127", "cell": [[-1.713, -1.430, 6.861], [1.962, -6.879, -0.944], [2.534, 0.618, 0.762]], "species": ["Rh", "Rh", "Rh", "Rh", "Ta", "Ta", "Cr", "Cr", "Cr", "Cr"], "frac_coords": [[0.678, 0.822, 0.500], [0.822, 0.322, 0.500], [0.178, 0.678, 0.500], [0.322, 0.178, 0.500], [0.500, 0.500, 0.000], [0.000, 0.000, 0.000], [0.615, 0.115, 0.000], [0.115, 0.385, 0.000], [0.385, 0.885, 0.000], [0.885, 0.615, 0.000]]}



[17]
{"formula": "TaCrRh2", "functional": "PBE", "state": "optimized geometry", "volume_a3_per_atom": 14.85, "crystal_system": "monoclinic", "space_group": "No. 10", "cell": [[2.834, 0.000, 0.000], [0.000, 4.749, 0.045], [0.000, 3.237, 4.445]], "species": ["Rh", "Rh", "Cr", "Ta"], "frac_coords": [[0.000, 0.000, 0.000], [0.500, 0.500, 0.000], [0.000, 0.000, 0.500], [0.500, 0.500, 0.500]]}



[18]
{"formula": "TaCr2Rh", "functional": "PBE", "state": "optimized geometry", "volume_a3_per_atom": 14.08, "crystal_system": "monoclinic", "space_group": "No. 6", "cell": [[-2.182, -2.704, -1.954], [1.426, 0.487, -2.268], [4.108, -3.450, 0.186]], "species": ["Rh", "Cr", "Cr", "Ta"], "frac_coords": [[0.000, 0.446, 0.489], [0.000, 0.063, 0.038], [0.500, 0.214, 0.221], [0.500, 0.777, 0.753]]}



[19]
{"formula": "TaCrRh2", "functional": "PBE", "state": "optimized geometry", "volume_a3_per_atom": 14.60, "crystal_system": "trigonal", "space_group": "No. 166", "cell": [[-5.761, -3.474, -5.903], [-3.410, -4.481, -6.957], [-4.696, -5.827, -4.909]], "species": ["Cr", "Rh", "Rh", "Ta"], "frac_coords": [[0.750, 0.750, 0.750], [0.494, 0.494, 0.494], [0.006, 0.006, 0.006], [0.250, 0.250, 0.250]]}



[20]
{"formula": "TaCrRh2", "functional": "PBE", "state": "optimized geometry", "volume_a3_per_atom": 14.65, "crystal_system": "cubic", "space_group": "No. 216", "cell": [[4.360, 0.000, 0.000], [2.180, 3.776, 0.000], [2.180, 1.259, 3.560]], "species": ["Rh", "Rh", "Ta", "Cr"], "frac_coords": [[0.000, 0.000, 0.000], [0.250, 0.250, 0.250], [0.750, 0.750, 0.750], [0.500, 0.500, 0.500]]}



The calculation returns the following DFT total energy values, one per record and in order: -5.696 -6.092 -5.068 -6.035 -5.528 -8.739 -9.275 -7.695 -10.301 -9.192 -9.019 -9.647 -11.155 -9.717 -9.675 -9.177 -9.160 -9.622 -9.083 -9.078 eV per atom.
The calculation returns the following ΔE_f values, one per record and in order: 523 410 1151 282 1837 306 -230 1920 430 -147 26 -31 -144 676 -62 -17 -115 -9 -38 -34 meV/atom.
The calculation returns the following spin magnetization values, one per record and in order: 4.37 3.30 4.92 1.34 6.92 2.24 0.43 0.01 3.02 0.00 0.19 0.00 0.00 0.00 1.72 0.00 1.95 0.00 0.01 0.38 Bohr magnetons per cell.